## w
Entry from the Alexandria database: a relaxed Li4AlAg2 crystal (GGA-PBE).

Output
Its magnetic moment is 0.0 μB/f.u. The value obtained for the volume is 17.75 A^3/atom.

abc: 5.610 5.610 5.599
angles: 120.11 120.11 89.92
Fractional coordinates of all 7 atoms:
Ag 0.286 0.785 0.571
Ag 0.785 0.286 0.571
Li 0.786 0.786 0.072
Li 0.786 0.286 0.071
Li 0.286 0.286 0.071
Li 0.286 0.786 0.071
Al 0.786 0.786 0.571



## x
Entry from the Alexandria database: a relaxed Li4AlAg2 crystal (GGA-PBE).

Output
Its magnetic moment is 0.0 μB/f.u. The value obtained for the volume is 17.67 A^3/atom.

abc: 3.301 8.054 9.302
angles: 90.00 90.00 90.00
Fractional coordinates of all 14 atoms:
Li 0.000 0.750 0.251
Li 0.000 0.250 0.749
Li 0.000 0.750 0.751
Li 0.500 0.684 0.501
Li 0.500 0.816 0.001
Li 0.500 0.316 0.499
Li 0.500 0.184 0.999
Li 0.000 0.250 0.249
Ag 0.500 0.000 0.726
Ag 0.500 0.500 0.226
Ag 0.500 0.000 0.274
Ag 0.500 0.500 0.774
Al 0.000 0.500 0.000
Al 0.000 0.000 0.500



It is x that is the least stable of them.



## w
Entry from the Alexandria database: a relaxed Li3AlAg3 crystal (GGA-PBE).

Output
Its magnetic moment is 0.0 μB/f.u. The value obtained for the volume is 17.50 A^3/atom.

abc: 6.414 6.414 5.968
angles: 90.00 90.00 86.31
Fractional coordinates of all 14 atoms:
Ag 0.000 0.000 0.251
Ag 0.000 0.500 0.748
Ag 0.000 0.500 0.252
Ag 0.000 0.000 0.749
Ag 0.500 0.000 0.748
Ag 0.500 0.000 0.252
Li 0.252 0.252 0.500
Li 0.279 0.721 0.500
Li 0.748 0.748 0.500
Li 0.703 0.297 0.000
Li 0.297 0.703 0.000
Li 0.721 0.279 0.500
Al 0.757 0.757 0.000
Al 0.243 0.243 0.000



## x
Entry from the Alexandria database: a relaxed Li3AlAg3 crystal (GGA-PBE).

Output
Its magnetic moment is 0.0 μB/f.u. The value obtained for the volume is 17.79 A^3/atom.

abc: 5.579 5.579 8.606
angles: 90.34 90.34 111.56
Fractional coordinates of all 14 atoms:
Ag 0.022 0.022 0.776
Ag 0.978 0.978 0.224
Ag 0.981 0.506 0.749
Ag 0.019 0.494 0.251
Ag 0.506 0.981 0.749
Ag 0.494 0.019 0.251
Al 0.708 0.708 0.982
Al 0.292 0.292 0.018
Li 0.232 0.768 0.000
Li 0.768 0.232 0.000
Li 0.164 0.836 0.500
Li 0.532 0.532 0.312
Li 0.836 0.164 0.500
Li 0.468 0.468 0.688



It is x that is the least stable of them.



## w
Entry from the Alexandria database: a relaxed LiAl2Ag8 crystal (GGA-PBE).

Output
Its magnetic moment is 0.0 μB/f.u. The value obtained for the volume is 17.87 A^3/atom.

abc: 4.778 7.084 7.084
angles: 116.20 102.40 102.40
Fractional coordinates of all 11 atoms:
Ag 0.881 0.912 0.675
Ag 0.684 0.389 0.389
Ag 0.119 0.325 0.088
Ag 0.881 0.675 0.912
Ag 0.500 0.217 0.783
Ag 0.119 0.088 0.325
Ag 0.316 0.611 0.611
Ag 0.500 0.783 0.217
Al 0.000 0.691 0.309
Al 0.000 0.309 0.691
Li 0.500 0.000 0.000



## x
Entry from the Alexandria database: a relaxed LiAl2Ag8 crystal (GGA-PBE).

Output
Its magnetic moment is 0.0 μB/f.u. The value obtained for the volume is 17.07 A^3/atom.

abc: 4.237 6.559 7.451
angles: 108.11 106.52 90.00
Fractional coordinates of all 11 atoms:
Ag 0.680 0.925 0.359
Ag 0.047 0.730 0.093
Ag 0.401 0.541 0.803
Ag 0.320 0.075 0.641
Ag 0.599 0.459 0.197
Ag 0.142 0.201 0.285
Ag 0.858 0.799 0.715
Ag 0.953 0.270 0.907
Al 0.775 0.356 0.551
Al 0.225 0.644 0.449
Li 0.500 0.000 0.000



It is w that is the least stable of them.



## w
Entry from the Alexandria database: a relaxed LiAl2Ag3 crystal (GGA-PBE).

Output
Its magnetic moment is 0.0 μB/f.u. The value obtained for the volume is 16.14 A^3/atom.

abc: 6.965 6.965 6.669
angles: 90.00 90.00 143.23
Fractional coordinates of all 12 atoms:
Ag 0.167 0.833 0.243
Ag 0.500 0.500 0.251
Ag 0.167 0.833 0.757
Ag 0.500 0.500 0.749
Ag 0.833 0.167 0.243
Ag 0.833 0.167 0.757
Li 0.663 0.337 0.000
Li 0.337 0.663 0.000
Al 0.000 0.000 0.500
Al 0.330 0.670 0.500
Al 0.000 0.000 0.000
Al 0.670 0.330 0.500



## x
Entry from the Alexandria database: a relaxed LiAl2Ag3 crystal (GGA-PBE).

Output
Its magnetic moment is 0.0 μB/f.u. The value obtained for the volume is 16.32 A^3/atom.

abc: 7.560 6.519 6.519
angles: 142.46 90.00 90.00
Fractional coordinates of all 12 atoms:
Ag 0.970 0.165 0.835
Ag 0.970 0.500 0.500
Ag 0.470 0.165 0.835
Ag 0.470 0.500 0.500
Ag 0.970 0.835 0.165
Ag 0.470 0.835 0.165
Li 0.720 0.000 0.000
Li 0.220 0.000 0.000
Al 0.720 0.333 0.667
Al 0.220 0.333 0.667
Al 0.720 0.667 0.333
Al 0.220 0.667 0.333



It is x that is the least stable of them.



## w
Entry from the Alexandria database: a relaxed LuAl2Ag crystal (GGA-PBE).

Output
Its magnetic moment is 0.0 μB/f.u. The value obtained for the volume is 19.26 A^3/atom.

abc: 4.257 4.254 4.254
angles: 90.00 90.00 90.00
Fractional coordinates of all 4 atoms:
Lu 0.500 0.500 0.500
Al 0.000 0.000 0.500
Al 0.000 0.500 0.000
Ag 0.500 0.000 0.000



## x
Entry from the Alexandria database: a relaxed LuAl2Ag crystal (GGA-PBE).

Output
Its magnetic moment is 0.2 μB/f.u. The value obtained for the volume is 19.18 A^3/atom.

abc: 3.185 3.185 7.562
angles: 90.00 90.00 90.00
Last column: magnetic moment on the atom in μB.
Fractional coordinates of all 4 atoms:
Al 0.000 0.000 0.220  0.00
Al 0.000 0.000 0.780  0.00
Ag 0.500 0.500 0.000  0.00
Lu 0.500 0.500 0.500  -0.14



## y
Entry from the Alexandria database: a relaxed LuAl2Ag crystal (GGA-PBE).

Output
Its magnetic moment is 0.0 μB/f.u. The value obtained for the volume is 20.51 A^3/atom.

abc: 4.374 4.374 5.559
angles: 66.84 66.84 60.00
Fractional coordinates of all 4 atoms:
Al 0.784 0.784 0.649
Al 0.216 0.216 0.351
Lu 0.000 0.000 0.000
Ag 0.500 0.500 0.500



It is x that is the least stable of them.



## w
Entry from the Alexandria database: a relaxed Mg8AlAg2 crystal (GGA-PBE).

Output
Its magnetic moment is 0.0 μB/f.u. The value obtained for the volume is 21.73 A^3/atom.

abc: 5.095 7.604 7.604
angles: 117.94 101.75 101.75
Fractional coordinates of all 11 atoms:
Mg 0.109 0.323 0.090
Mg 0.891 0.910 0.677
Mg 0.306 0.609 0.609
Mg 0.694 0.391 0.391
Mg 0.500 0.780 0.220
Mg 0.891 0.677 0.910
Mg 0.500 0.220 0.780
Mg 0.109 0.090 0.323
Ag 0.000 0.696 0.304
Ag 0.000 0.304 0.696
Al 0.500 0.000 0.000



## x
Entry from the Alexandria database: a relaxed Mg8AlAg2 crystal (GGA-PBE).

Output
Its magnetic moment is 0.0 μB/f.u. The value obtained for the volume is 21.06 A^3/atom.

abc: 4.669 6.874 8.310
angles: 114.32 106.03 90.01
Fractional coordinates of all 11 atoms:
Mg 0.974 0.030 0.585
Mg 0.298 0.354 0.232
Mg 0.932 0.456 0.501
Mg 0.525 0.740 0.686
Mg 0.751 0.970 0.138
Mg 0.137 0.525 0.909
Mg 0.340 0.860 0.317
Mg 0.636 0.221 0.908
Ag 0.476 0.293 0.590
Ag 0.794 0.611 0.224
Al 0.137 0.941 0.910



It is w that is the least stable of them.



## w
Entry from the Alexandria database: a relaxed Mg2AlAg4 crystal (GGA-PBE).

Output
Its magnetic moment is 0.0 μB/f.u. The value obtained for the volume is 19.56 A^3/atom.

abc: 6.693 6.693 5.636
angles: 126.47 126.47 89.94
Fractional coordinates of all 7 atoms:
Al 0.000 0.000 0.999
Ag 0.716 0.716 0.000
Ag 0.285 0.715 0.000
Ag 0.715 0.285 0.000
Ag 0.285 0.285 0.000
Mg 0.250 0.750 0.500
Mg 0.750 0.250 0.500



## x
Entry from the Alexandria database: a relaxed Mg2AlAg4 crystal (GGA-PBE).

Output
Its magnetic moment is 0.0 μB/f.u. The value obtained for the volume is 19.23 A^3/atom.

abc: 5.675 5.675 5.675
angles: 95.44 116.91 116.91
Fractional coordinates of all 7 atoms:
Mg 0.500 0.000 0.500
Mg 0.500 0.500 0.000
Ag 0.000 0.000 0.500
Ag 0.500 0.000 0.000
Ag 0.000 0.500 0.000
Ag 0.500 0.500 0.500
Al 0.000 0.000 0.000



It is w that is the least stable of them.



## w
Entry from the Alexandria database: a relaxed Mg16Al12Ag crystal (GGA-PBE).

Output
Its magnetic moment is 0.0 μB/f.u. The value obtained for the volume is 19.95 A^3/atom.

abc: 9.065 9.065 9.065
angles: 109.23 109.23 109.23
Fractional coordinates of all 29 atoms:
Al 0.356 0.356 0.169
Al 0.002 0.634 0.817
Al 0.817 0.634 0.002
Al 0.169 0.356 0.356
Al 0.634 0.002 0.817
Al 0.185 0.185 0.808
Al 0.185 0.808 0.185
Al 0.356 0.169 0.356
Al 0.808 0.185 0.185
Al 0.002 0.817 0.634
Al 0.817 0.002 0.634
Al 0.634 0.817 0.002
Mg 0.595 0.998 0.318
Mg 0.345 0.999 0.999
Mg 0.998 0.318 0.595
Mg 0.684 0.284 0.684
Mg 0.410 0.703 0.410
Mg 0.318 0.998 0.595
Mg 0.998 0.595 0.318
Mg 0.999 0.345 0.999
Mg 0.318 0.595 0.998
Mg 0.595 0.318 0.998
Mg 0.703 0.410 0.410
Mg 0.999 0.999 0.345
Mg 0.684 0.684 0.284
Mg 0.001 0.001 0.001
Mg 0.284 0.684 0.684
Mg 0.410 0.410 0.703
Ag 0.692 0.692 0.692



## x
Entry from the Alexandria database: a relaxed Mg16Al12Ag crystal (GGA-PBE).

Output
Its magnetic moment is 0.0 μB/f.u. The value obtained for the volume is 19.90 A^3/atom.

abc: 9.057 9.057 9.091
angles: 70.57 70.57 109.13
Fractional coordinates of all 29 atoms:
Al 0.808 0.180 0.187
Al 0.365 0.996 0.819
Al 0.818 0.632 0.363
Al 0.634 0.634 0.179
Al 0.996 0.365 0.819
Al 0.185 0.999 0.637
Al 0.816 0.816 0.817
Al 0.632 0.818 0.363
Al 0.176 0.358 0.008
Al 0.358 0.176 0.008
Al 0.180 0.808 0.187
Al 0.999 0.185 0.637
Mg 0.001 0.001 0.998
Mg 0.998 0.399 0.318
Mg 0.999 0.651 0.997
Mg 0.651 0.999 0.997
Mg 0.360 0.360 0.663
Mg 0.320 0.707 0.687
Mg 0.707 0.320 0.687
Mg 0.002 0.685 0.601
Mg 0.597 0.284 0.401
Mg 0.309 0.309 0.293
Mg 0.284 0.597 0.401
Mg 0.399 0.998 0.318
Mg 0.675 0.407 0.995
Mg 0.685 0.002 0.601
Mg 0.407 0.675 0.995
Mg 0.997 0.997 0.345
Ag 0.643 0.643 0.677



It is w that is the least stable of them.



## w
Entry from the Alexandria database: a relaxed Mg4AlAg crystal (GGA-PBE).

Output
Its magnetic moment is 0.0 μB/f.u. The value obtained for the volume is 21.52 A^3/atom.

abc: 5.673 5.673 5.673
angles: 60.00 60.00 60.00
Fractional coordinates of all 6 atoms:
Mg 0.375 0.375 0.875
Mg 0.375 0.875 0.375
Mg 0.375 0.375 0.375
Mg 0.875 0.375 0.375
Al 0.000 0.000 0.000
Ag 0.750 0.750 0.750



## x
Entry from the Alexandria database: a relaxed Mg4AlAg crystal (GGA-PBE).

Output
Its magnetic moment is 0.0 μB/f.u. The value obtained for the volume is 21.02 A^3/atom.

abc: 5.555 5.555 5.555
angles: 103.04 103.04 123.28
Fractional coordinates of all 6 atoms:
Al 0.000 0.000 0.000
Mg 0.094 0.906 0.500
Mg 0.906 0.406 0.812
Mg 0.594 0.094 0.188
Mg 0.406 0.594 0.500
Ag 0.500 0.500 0.000



## y
Entry from the Alexandria database: a relaxed Mg4AlAg crystal (GGA-PBE).

Output
Its magnetic moment is 0.0 μB/f.u. The value obtained for the volume is 23.85 A^3/atom.

abc: 4.621 4.620 6.703
angles: 89.90 89.96 90.01
Fractional coordinates of all 6 atoms:
Ag 0.001 0.997 0.498
Mg 0.502 0.997 0.254
Mg 0.001 0.497 0.742
Mg 0.001 0.497 0.254
Mg 0.501 0.998 0.742
Al 0.501 0.497 0.998



It is w that is the least stable of them.